1.
Material: Pm3GaNi3
Method: DFT, PBE
State: relaxed

**Energy of formation from the pure elements**: -305 kJ/mol of formula units
**Space group**: No. 63
**Theoretical density**: 7.96 g cm⁻³
**M_tot**: 0.0 Bohr magnetons per cell

Cell lengths 4.1467, 5.5012, 13.4394 Å; angles 90.00, 90.00, 112.14 degrees
With the nearest neighbours (Å) after each atom.
Element x y z (fractional)
Pm1 0.7835 0.5669 0.1035  6 Ni 2.96-2.99, 1 Ga 3.21
Pm2 0.2165 0.4331 0.8965  6 Ni 2.96-2.99, 1 Ga 3.21
Pm3 0.4995 0.9991 0.7500  7 Ni 2.90-3.09
Pm4 0.2165 0.4331 0.6035  6 Ni 2.96-2.99, 1 Ga 3.21
Pm5 0.5005 0.0009 0.2500  7 Ni 2.90-3.09
Pm6 0.7835 0.5669 0.3965  6 Ni 2.96-2.99, 1 Ga 3.21
Ga1 0.5000 0.0000 0.0000  4 Ni 2.51
Ga2 0.5000 0.0000 0.5000  4 Ni 2.51
Ni1 0.9266 0.8531 0.9113  2 Ga 2.51, 1 Ni 2.52
Ni2 0.7999 0.5998 0.7500  2 Ni 2.52
Ni3 0.2001 0.4002 0.2500  2 Ni 2.52
Ni4 0.9266 0.8531 0.5887  2 Ga 2.51, 1 Ni 2.52
Ni5 0.0734 0.1469 0.4113  2 Ga 2.51, 1 Ni 2.52
Ni6 0.0734 0.1469 0.0887  2 Ga 2.51, 1 Ni 2.52

***

2.
Material: PmGa2Ni
Method: DFT, PBE
State: relaxed

**Energy of formation from the pure elements**: -224 kJ/mol of formula units
**Space group**: No. 166
**Theoretical density**: 7.42 g cm⁻³
**M_tot**: 0.0 Bohr magnetons per cell

Cell lengths 4.1126, 4.1126, 5.7553 Å; angles 69.07, 69.07, 60.00 degrees
With the nearest neighbours (Å) after each atom.
Element x y z (fractional)
Ga1 0.7106 0.7106 0.8681  3 Ni 2.47, 3 Ga 2.75
Ga2 0.2894 0.2894 0.1319  3 Ni 2.47, 3 Ga 2.75
Ni1 0.0000 0.0000 0.0000  6 Ga 2.47
Pm1 0.5000 0.5000 0.5000  8 Ga 3.06-3.31

***

3.
Material: Pm3Ga5Ni6
Method: DFT, PBE
State: relaxed

**Energy of formation from the pure elements**: -749 kJ/mol of formula units
**Space group**: No. 71
**Theoretical density**: 8.10 g cm⁻³
**M_tot**: 0.0 Bohr magnetons per cell

Cell lengths 4.2408, 7.8854, 7.8854 Å; angles 69.18, 74.40, 74.40 degrees
With the nearest neighbours (Å) after each atom.
Element x y z (fractional)
Ga1 0.3252 0.3327 0.0168  4 Ni 2.47-2.65
Ga2 0.3252 0.0168 0.3327  4 Ni 2.47-2.65
Ga3 0.6748 0.9832 0.6673  4 Ni 2.47-2.65
Ga4 0.0000 0.5000 0.5000  4 Ni 2.45
Ga5 0.6748 0.6673 0.9832  4 Ni 2.47-2.65
Pm1 0.6863 0.3137 0.3137  6 Ni 2.93-3.05, 8 Ga 3.07-3.12
Pm2 0.0000 0.0000 0.0000  4 Ni 2.84
Pm3 0.3137 0.6863 0.6863  6 Ni 2.93-3.05, 8 Ga 3.07-3.12
Ni1 0.5000 0.2948 0.7052  2 Ga 2.47, 4 Ni 2.55
Ni2 0.1144 0.6102 0.1609  4 Ga 2.45-2.65, 2 Ni 2.55
Ni3 0.8856 0.3898 0.8391  4 Ga 2.45-2.65, 2 Ni 2.55
Ni4 0.1144 0.1609 0.6102  4 Ga 2.45-2.65, 2 Ni 2.55
Ni5 0.5000 0.7052 0.2948  2 Ga 2.47, 4 Ni 2.55
Ni6 0.8856 0.8391 0.3898  4 Ga 2.45-2.65, 2 Ni 2.55

***

4.
Material: PmGa2Ni
Method: DFT, PBE
State: relaxed

**Energy of formation from the pure elements**: -151 kJ/mol of formula units
**Space group**: No. 123
**Theoretical density**: 7.95 g cm⁻³
**M_tot**: 0.0 Bohr magnetons per cell

Cell lengths 3.1958, 3.1958, 7.0135 Å; angles 90.00, 90.00, 90.00 degrees
With the nearest neighbours (Å) after each atom.
Element x y z (fractional)
Pm1 0.5000 0.5000 0.5000  8 Ga 3.15, 4 Pm 3.20, 2 Ni 3.51
Ni1 0.5000 0.5000 0.0000  8 Ga 2.61
Ga1 0.0000 0.0000 0.1874  4 Ni 2.61, 1 Ga 2.63
Ga2 0.0000 0.0000 0.8126  4 Ni 2.61, 1 Ga 2.63